1.
An optimized crystal structure of CaAlSi, computed with PBE.

## Properties
The value obtained for the density of states at the Fermi level is 0.25 states/eV per atom. As for the calculated total energy: -49.40 eV per cell. Its uncorrected formation energy is -0.39 eV/atom.

Unit cell a=4.2062 b=4.2062 c=17.3646 alpha=90.00 beta=90.00 gamma=120.00
Closest atoms and distances in Å follow each position.
Sites, in units of the cell vectors:
Ca  0.0000  0.0000  0.2500  6 Al 3.10, 6 Si 3.36
Si  0.6667  0.3333  0.3840  3 Al 2.46
Ca  0.0000  0.0000  0.0000  6 Si 3.16, 6 Al 3.43
Si  0.6667  0.3333  0.1160  3 Al 2.46
Al  0.6667  0.3333  0.6394  3 Si 2.46
Si  0.3333  0.6667  0.6160  3 Al 2.46
Ca  0.0000  0.0000  0.7500  6 Al 3.10, 6 Si 3.36
Al  0.3333  0.6667  0.1394  3 Si 2.46
Ca  0.0000  0.0000  0.5000  6 Si 3.16, 6 Al 3.43
Si  0.3333  0.6667  0.8840  3 Al 2.46
Al  0.3333  0.6667  0.3606  3 Si 2.46
Al  0.6667  0.3333  0.8606  3 Si 2.46

---

2.
An optimized crystal structure of CaAlSi, computed with PBE.

## Properties
The value obtained for the density of states at the Fermi level is 0.23 states/eV per atom. As for the calculated total energy: -74.06 eV per cell. Its uncorrected formation energy is -0.39 eV/atom.

Unit cell a=4.2058 b=4.2058 c=26.2096 alpha=90.00 beta=90.00 gamma=120.00
Closest atoms and distances in Å follow each position.
Sites, in units of the cell vectors:
Ca  0.0000  0.0000  0.1677  6 Al 3.16-3.25, 6 Si 3.25-3.37
Al  0.6667  0.3333  0.7500  3 Si 2.43
Si  0.3333  0.6667  0.9215  3 Al 2.45
Si  0.6667  0.3333  0.4215  3 Al 2.45
Si  0.6667  0.3333  0.0785  3 Al 2.45
Ca  0.0000  0.0000  0.0000  6 Si 3.18, 6 Al 3.39
Al  0.3333  0.6667  0.0904  3 Si 2.45
Al  0.6667  0.3333  0.9096  3 Si 2.45
Si  0.6667  0.3333  0.2500  3 Al 2.43
Al  0.3333  0.6667  0.4096  3 Si 2.45
Si  0.3333  0.6667  0.7500  3 Al 2.43
Al  0.6667  0.3333  0.5904  3 Si 2.45
Ca  0.0000  0.0000  0.3323  6 Al 3.16-3.25, 6 Si 3.25-3.37
Al  0.3333  0.6667  0.2500  3 Si 2.43
Si  0.3333  0.6667  0.5785  3 Al 2.45
Ca  0.0000  0.0000  0.5000  6 Si 3.18, 6 Al 3.39
Ca  0.0000  0.0000  0.8323  6 Al 3.16-3.25, 6 Si 3.25-3.37
Ca  0.0000  0.0000  0.6677  6 Al 3.16-3.25, 6 Si 3.25-3.37

---

3.
An optimized crystal structure of CaAlSi, computed with PBE.

## Properties
The value obtained for the density of states at the Fermi level is 0.28 states/eV per atom. As for the calculated total energy: -48.81 eV per cell. Its uncorrected formation energy is -0.35 eV/atom.

Unit cell a=5.4086 b=5.6032 c=7.7678 alpha=90.00 beta=90.00 gamma=90.00
Closest atoms and distances in Å follow each position.
Sites, in units of the cell vectors:
Al  0.2500  0.2500  0.2500  2 Al 2.70, 4 Si 2.75
Si  0.0000  0.0000  0.5000  4 Al 2.75, 2 Si 2.80
Ca  0.0000  0.7500  0.1228  6 Si 3.19-3.25, 6 Al 3.20-3.26, 4 Ca 3.35-3.39
Ca  0.5000  0.7500  0.3772  6 Si 3.19-3.25, 6 Al 3.20-3.26, 4 Ca 3.35-3.39
Ca  0.5000  0.2500  0.6228  6 Si 3.19-3.25, 6 Al 3.20-3.26, 4 Ca 3.35-3.39
Ca  0.0000  0.2500  0.8772  6 Si 3.19-3.25, 6 Al 3.20-3.26, 4 Ca 3.35-3.39
Al  0.7500  0.7500  0.7500  2 Al 2.70, 4 Si 2.75
Si  0.5000  0.5000  0.0000  4 Al 2.75, 2 Si 2.80
Al  0.7500  0.2500  0.2500  2 Al 2.70, 4 Si 2.75
Si  0.5000  0.0000  0.0000  4 Al 2.75, 2 Si 2.80
Al  0.2500  0.7500  0.7500  2 Al 2.70, 4 Si 2.75
Si  0.0000  0.5000  0.5000  4 Al 2.75, 2 Si 2.80

---

4.
An optimized crystal structure of CaAlSi2, computed with PBE.

## Properties
The value obtained for the density of states at the Fermi level is 0.32 states/eV per atom. As for the calculated total energy: -32.94 eV per cell. Its uncorrected formation energy is 0.03 eV/atom.

Unit cell a=4.8325 b=4.8325 c=8.8644 alpha=74.18 beta=74.18 gamma=90.00
Closest atoms and distances in Å follow each position.
Sites, in units of the cell vectors:
Si  0.2625  0.6250  0.2500  2 Al 2.44, 2 Si 2.65
Ca  0.0000  0.0000  0.0000  4 Si 3.02
Al  0.2500  0.7500  0.5000  4 Si 2.44
Si  0.8750  0.7375  0.7500  2 Al 2.44, 2 Si 2.65
Si  0.4875  0.1250  0.2500  2 Al 2.44, 2 Si 2.65
Al  0.5000  0.5000  0.0000  4 Si 2.44
Si  0.3750  0.5125  0.7500  2 Al 2.44, 2 Si 2.65
Ca  0.7500  0.2500  0.5000  4 Si 3.02

---

5.
An optimized crystal structure of CaAl2Si, computed with PBE.

## Properties
The value obtained for the density of states at the Fermi level is 0.17 states/eV per atom. As for the calculated total energy: -30.44 eV per cell. Its uncorrected formation energy is -0.08 eV/atom.

Unit cell a=7.9187 b=7.9187 c=6.2774 alpha=50.90 beta=50.90 gamma=90.00
Closest atoms and distances in Å follow each position.
Sites, in units of the cell vectors:
Al  0.8750  0.8052  0.7500  2 Si 2.54
Si  0.2500  0.7500  0.5000  4 Al 2.54, 2 Ca 2.84
Ca  0.7500  0.2500  0.5000  2 Si 2.84
Ca  0.0000  0.0000  0.0000  2 Si 2.84
Al  0.3750  0.4448  0.7500  2 Si 2.54
Al  0.5552  0.1250  0.2500  2 Si 2.54
Al  0.1948  0.6250  0.2500  2 Si 2.54
Si  0.5000  0.5000  0.0000  4 Al 2.54, 2 Ca 2.84

---

6.
An optimized crystal structure of CaAlSi2, computed with PBE.

## Properties
The value obtained for the density of states at the Fermi level is 0.40 states/eV per atom. As for the calculated total energy: -16.52 eV per cell. Its uncorrected formation energy is 0.02 eV/atom.

Unit cell a=5.2159 b=5.2159 c=5.2159 alpha=133.09 beta=133.09 gamma=68.51
Closest atoms and distances in Å follow each position.
Sites, in units of the cell vectors:
Si  0.0000  0.0000  0.0000  4 Si 2.94, 4 Al 2.99, 4 Ca 2.99
Si  0.5000  0.5000  0.0000  4 Si 2.94, 4 Ca 2.99, 4 Al 2.99
Al  0.2500  0.7500  0.5000  4 Ca 2.94, 8 Si 2.99
Ca  0.7500  0.2500  0.5000  4 Al 2.94, 8 Si 2.99

---

7.
An optimized crystal structure of CaAl2Si, computed with PBE.

## Properties
The value obtained for the density of states at the Fermi level is 0.50 states/eV per atom. As for the calculated total energy: -15.41 eV per cell. Its uncorrected formation energy is -0.12 eV/atom.

Unit cell a=3.5022 b=3.5022 c=6.6165 alpha=90.00 beta=90.00 gamma=90.00
Closest atoms and distances in Å follow each position.
Sites, in units of the cell vectors:
Al  0.5000  0.5000  0.1943  1 Si 2.53
Si  0.5000  0.5000  0.8114  5 Al 2.53-2.73
Ca  0.0000  0.0000  0.5098  6 Al 3.14-3.48, 4 Si 3.18, 4 Ca 3.50
Al  0.0000  0.0000  0.9845  4 Si 2.73, 4 Al 2.84

---

8.
An optimized crystal structure of CaAlSi2, computed with PBE.

## Properties
The value obtained for the density of states at the Fermi level is 0.17 states/eV per atom. As for the calculated total energy: -16.11 eV per cell. Its uncorrected formation energy is 0.12 eV/atom.

Unit cell a=8.5470 b=8.5470 c=8.5470 alpha=22.58 beta=22.58 gamma=22.58
Closest atoms and distances in Å follow each position.
Sites, in units of the cell vectors:
Si  0.5109  0.5109  0.5109  3 Al 2.65
Al  0.2500  0.2500  0.2500  6 Si 2.65
Ca  0.7500  0.7500  0.7500  6 Si 3.05, 6 Ca 3.35
Si  0.9891  0.9891  0.9891  3 Al 2.65

---

9.
An optimized crystal structure of CaAl2Si, computed with PBE.

## Properties
The value obtained for the density of states at the Fermi level is 0.47 states/eV per atom. As for the calculated total energy: -15.05 eV per cell. Its uncorrected formation energy is -0.04 eV/atom.

Unit cell a=5.4513 b=5.4513 c=5.4513 alpha=135.51 beta=135.51 gamma=64.75
Closest atoms and distances in Å follow each position.
Sites, in units of the cell vectors:
Ca  0.2500  0.7500  0.5000  4 Si 2.92, 8 Al 3.09
Al  0.5000  0.5000  0.0000  4 Al 2.92, 4 Ca 3.09, 4 Si 3.09
Al  0.0000  0.0000  0.0000  4 Al 2.92, 4 Ca 3.09, 4 Si 3.09
Si  0.7500  0.2500  0.5000  4 Ca 2.92, 8 Al 3.09

---

10.
An optimized crystal structure of CaAl2Si, computed with PBE.

## Properties
The value obtained for the density of states at the Fermi level is 0.42 states/eV per atom. As for the calculated total energy: -15.37 eV per cell. Its uncorrected formation energy is -0.11 eV/atom.

Unit cell a=4.1972 b=4.1972 c=4.3537 alpha=90.00 beta=90.00 gamma=90.00
Closest atoms and distances in Å follow each position.
Sites, in units of the cell vectors:
Al  0.0000  0.0000  0.0000  4 Al 2.97, 4 Ca 3.02, 4 Si 3.02
Ca  0.5000  0.0000  0.5000  4 Si 2.97, 8 Al 3.02
Al  0.5000  0.5000  0.0000  4 Al 2.97, 4 Ca 3.02, 4 Si 3.02
Si  0.0000  0.5000  0.5000  4 Ca 2.97, 8 Al 3.02

---

11.
An optimized crystal structure of CaAl4Si, computed with PBE.

## Properties
The value obtained for the density of states at the Fermi level is 0.50 states/eV per atom. As for the calculated total energy: -22.08 eV per cell. Its uncorrected formation energy is 0.05 eV/atom.

Unit cell a=5.4886 b=5.4886 c=5.4886 alpha=60.00 beta=60.00 gamma=60.00
Closest atoms and distances in Å follow each position.
Sites, in units of the cell vectors:
Si  0.0000  0.0000  0.0000  12 Al 3.22, 4 Ca 3.36
Al  0.3743  0.3743  0.8771  6 Al 2.73-2.76
Al  0.8771  0.3743  0.3743  6 Al 2.73-2.76
Al  0.3743  0.8771  0.3743  6 Al 2.73-2.76
Ca  0.7500  0.7500  0.7500  12 Al 3.22, 4 Si 3.36
Al  0.3743  0.3743  0.3743  6 Al 2.73-2.76

---

12.
An optimized crystal structure of CaAlSi3, computed with PBE.

## Properties
The value obtained for the density of states at the Fermi level is 0.96 states/eV per atom. As for the calculated total energy: -14.54 eV per cell. Its uncorrected formation energy is 1.50 eV/atom.

Unit cell a=5.2854 b=5.2854 c=5.2854 alpha=90.00 beta=90.00 gamma=90.00
Closest atoms and distances in Å follow each position.
Sites, in units of the cell vectors:
Si  0.0000  0.0000  0.5000  2 Ca 2.64
Al  0.5000  0.5000  0.5000  12 Si 3.74
Ca  0.0000  0.0000  0.0000  6 Si 2.64
Si  0.5000  0.0000  0.0000  2 Ca 2.64
Si  0.0000  0.5000  0.0000  2 Ca 2.64